Entry 1:
# NbRe3F | the Alexandria database | PBE-GGA | relaxed
# Total DFT energy (no corrections), eV per atom: -7.307
data_NbRe3F
_chemical_formula_sum 'Nb1 Re3 F1'
_cell_length_a 4.807
_cell_length_b 4.807
_cell_length_c 4.807
_cell_angle_alpha 90.00
_cell_angle_beta 90.00
_cell_angle_gamma 90.00
_symmetry_space_group_name_H-M 'P m -3 m'
_symmetry_Int_Tables_number 221
_symmetry_space_group_name_Hall '-P 4 2 3'
loop_
_atom_site_label
_atom_site_fract_x
_atom_site_fract_y
_atom_site_fract_z
Nb1 0.000 0.000 0.000
Re1 0.000 0.000 0.500
F1 0.500 0.500 0.500

***

Entry 2:
# Pm2Zn4Ga3Ni | the Alexandria database | PBE-GGA | relaxed
# Total DFT energy (no corrections), eV per atom: -3.364
data_Pm2Zn4Ga3Ni
_chemical_formula_sum 'Pm2 Zn4 Ga3 Ni1'
_cell_length_a 4.188
_cell_length_b 4.188
_cell_length_c 10.565
_cell_angle_alpha 90.00
_cell_angle_beta 90.00
_cell_angle_gamma 90.00
_symmetry_space_group_name_H-M 'P -4 m 2'
_symmetry_Int_Tables_number 115
_symmetry_space_group_name_Hall 'P -4 -2'
loop_
_atom_site_label
_atom_site_fract_x
_atom_site_fract_y
_atom_site_fract_z
Pm1 0.000 0.500 0.242
Zn1 0.000 0.000 0.500
Zn2 0.000 0.500 0.872
Zn3 0.500 0.500 0.500
Ga1 0.000 0.000 0.000
Ga2 0.000 0.500 0.640
Ni1 0.500 0.500 0.000

***

Entry 3:
# Y2BeFe | the Alexandria database | PBE-GGA | relaxed
# Total DFT energy (no corrections), eV per atom: -5.845
data_Y2BeFe
_chemical_formula_sum 'Y6 Be3 Fe3'
_cell_length_a 3.5881
_cell_length_b 3.5881
_cell_length_c 23.5357
_cell_angle_alpha 90.00
_cell_angle_beta 90.00
_cell_angle_gamma 120.00
_symmetry_space_group_name_H-M 'R -3 m'
_symmetry_Int_Tables_number 166
_symmetry_space_group_name_Hall '-R 3 2"'
loop_
_atom_site_label
_atom_site_fract_x
_atom_site_fract_y
_atom_site_fract_z
Y1 0.0000 0.0000 0.2471
Be1 0.0000 0.0000 0.0000
Fe1 0.0000 0.0000 0.5000

***

Entry 4:
# In2Ag2Cl7 | the Alexandria database | PBE-GGA | relaxed
# Total DFT energy (no corrections), eV per atom: -2.938
data_In2Ag2Cl7
_chemical_formula_sum 'In4 Ag4 Cl14'
_cell_length_a 8.238
_cell_length_b 12.471
_cell_length_c 7.246
_cell_angle_alpha 90.00
_cell_angle_beta 90.72
_cell_angle_gamma 90.00
_symmetry_space_group_name_H-M 'C 1 2/m 1'
_symmetry_Int_Tables_number 12
_symmetry_space_group_name_Hall '-C 2y'
loop_
_atom_site_label
_atom_site_fract_x
_atom_site_fract_y
_atom_site_fract_z
In1 0.211 0.000 0.128
Ag1 0.000 0.218 0.500
Cl1 0.000 0.500 0.000
Cl2 0.098 0.000 0.789
Cl3 0.246 0.177 0.301

***

Entry 5:
# TaCl3 | the Alexandria database | PBE-GGA | relaxed
# Total DFT energy (no corrections), eV per atom: -4.187
data_TaCl3
_chemical_formula_sum 'Ta4 Cl12'
_cell_length_a 6.623
_cell_length_b 6.623
_cell_length_c 6.623
_cell_angle_alpha 90.00
_cell_angle_beta 90.00
_cell_angle_gamma 90.00
_symmetry_space_group_name_H-M 'F m -3 m'
_symmetry_Int_Tables_number 225
_symmetry_space_group_name_Hall '-F 4 2 3'
loop_
_atom_site_label
_atom_site_fract_x
_atom_site_fract_y
_atom_site_fract_z
Ta1 0.000 0.000 0.000
Cl1 0.000 0.000 0.500
Cl2 0.250 0.250 0.250

***

Entry 6:
# CeMgCdPb | the Alexandria database | PBE-GGA | relaxed
# Total DFT energy (no corrections), eV per atom: -3.312
data_CeMgCdPb
_chemical_formula_sum 'Ce1 Mg1 Cd1 Pb1'
_cell_length_a 4.506
_cell_length_b 4.713
_cell_length_c 4.997
_cell_angle_alpha 90.00
_cell_angle_beta 90.00
_cell_angle_gamma 90.00
_symmetry_space_group_name_H-M 'P m m m'
_symmetry_Int_Tables_number 47
_symmetry_space_group_name_Hall '-P 2 2'
loop_
_atom_site_label
_atom_site_fract_x
_atom_site_fract_y
_atom_site_fract_z
Ce1 0.000 0.000 0.000
Mg1 0.000 0.500 0.500
Cd1 0.500 0.000 0.500
Pb1 0.500 0.500 0.000

***

Entry 7:
# Zr4Rh2N | the Alexandria database | PBE-GGA | relaxed
# Total DFT energy (no corrections), eV per atom: -8.966
data_Zr4Rh2N
_chemical_formula_sum 'Zr8 Rh4 N2'
_cell_length_a 4.380
_cell_length_b 4.380
_cell_length_c 13.548
_cell_angle_alpha 90.00
_cell_angle_beta 90.00
_cell_angle_gamma 90.00
_symmetry_space_group_name_H-M 'I 4/m m m'
_symmetry_Int_Tables_number 139
_symmetry_space_group_name_Hall '-I 4 2'
loop_
_atom_site_label
_atom_site_fract_x
_atom_site_fract_y
_atom_site_fract_z
Zr1 0.000 0.000 0.180
Zr2 0.000 0.500 0.000
Rh1 0.000 0.000 0.364
N1 0.000 0.000 0.000

***

Entry 8:
# La2Hf2Hg | the Alexandria database | PBE-GGA | relaxed
# Total DFT energy (no corrections), eV per atom: -5.893
data_La2Hf2Hg
_chemical_formula_sum 'La4 Hf4 Hg2'
_cell_length_a 7.561
_cell_length_b 7.561
_cell_length_c 4.961
_cell_angle_alpha 90.00
_cell_angle_beta 90.00
_cell_angle_gamma 90.00
_symmetry_space_group_name_H-M 'P 4/m b m'
_symmetry_Int_Tables_number 127
_symmetry_space_group_name_Hall '-P 4 2ab'
loop_
_atom_site_label
_atom_site_fract_x
_atom_site_fract_y
_atom_site_fract_z
La1 0.162 0.338 0.000
Hf1 0.140 0.640 0.500
Hg1 0.000 0.000 0.500

***

Entry 9:
# Ga3Ag3Sn | the Alexandria database | PBE-GGA | relaxed
# Total DFT energy (no corrections), eV per atom: -3.034
data_Ga3Ag3Sn
_chemical_formula_sum 'Ga6 Ag6 Sn2'
_cell_length_a 8.0952
_cell_length_b 8.0952
_cell_length_c 5.0621
_cell_angle_alpha 90.00
_cell_angle_beta 90.00
_cell_angle_gamma 120.00
_symmetry_space_group_name_H-M 'P 63/m m c'
_symmetry_Int_Tables_number 194
_symmetry_space_group_name_Hall '-P 6c 2c'
loop_
_atom_site_label
_atom_site_fract_x
_atom_site_fract_y
_atom_site_fract_z
Ga1 0.1120 0.2239 0.2500
Ag1 0.0908 0.5454 0.2500
Sn1 0.3333 0.6667 0.7500

***

Entry 10:
# Cs2TeI7 | the Alexandria database | PBE-GGA | relaxed
# Total DFT energy (no corrections), eV per atom: -2.250
data_Cs2TeI7
_chemical_formula_sum 'Cs4 Te2 I14'
_cell_length_a 8.819
_cell_length_b 8.819
_cell_length_c 13.383
_cell_angle_alpha 90.00
_cell_angle_beta 90.00
_cell_angle_gamma 90.00
_symmetry_space_group_name_H-M 'I 4/m m m'
_symmetry_Int_Tables_number 139
_symmetry_space_group_name_Hall '-I 4 2'
loop_
_atom_site_label
_atom_site_fract_x
_atom_site_fract_y
_atom_site_fract_z
Cs1 0.000 0.500 0.250
Te1 0.000 0.000 0.000
I1 0.000 0.000 0.223
I2 0.000 0.000 0.500
I3 0.243 0.243 0.000

***

Entry 11:
# TcCl3 | the Alexandria database | PBE-GGA | relaxed
# Total DFT energy (no corrections), eV per atom: -3.975
data_TcCl3
_chemical_formula_sum 'Tc3 Cl9'
_cell_length_a 3.2238
_cell_length_b 3.2238
_cell_length_c 29.7453
_cell_angle_alpha 90.00
_cell_angle_beta 90.00
_cell_angle_gamma 120.00
_symmetry_space_group_name_H-M 'R -3 m'
_symmetry_Int_Tables_number 166
_symmetry_space_group_name_Hall '-R 3 2"'
loop_
_atom_site_label
_atom_site_fract_x
_atom_site_fract_y
_atom_site_fract_z
Tc1 0.0000 0.0000 0.0000
Cl1 0.0000 0.0000 0.3866
Cl2 0.0000 0.0000 0.5000

***

Entry 12:
# CaBeSe2Br | the Alexandria database | PBE-GGA | relaxed
# Total DFT energy (no corrections), eV per atom: -3.652
data_CaBeSe2Br
_chemical_formula_sum 'Ca1 Be1 Se2 Br1'
_cell_length_a 4.588
_cell_length_b 4.588
_cell_length_c 5.361
_cell_angle_alpha 90.00
_cell_angle_beta 90.00
_cell_angle_gamma 90.00
_symmetry_space_group_name_H-M 'P 4/m m m'
_symmetry_Int_Tables_number 123
_symmetry_space_group_name_Hall '-P 4 2'
loop_
_atom_site_label
_atom_site_fract_x
_atom_site_fract_y
_atom_site_fract_z
Ca1 0.000 0.000 0.000
Be1 0.500 0.500 0.500
Se1 0.000 0.500 0.500
Br1 0.500 0.500 0.000